VASP calculation (PBE) on GaHgGeBr6 after structural relaxation.

```
GaHgGeBr6
1.0
6.658 0.000 0.000
3.329 5.766 0.000
0.000 -0.001 9.220
Ga Hg Ge Br
1 1 1 6
direct
0.333 0.333 0.500 Ga
0.000 0.000 0.000 Hg
0.667 0.667 0.500 Ge
0.012 0.350 0.336 Br
0.350 0.012 0.664 Br
0.638 0.350 0.664 Br
0.012 0.638 0.664 Br
0.350 0.638 0.336 Br
0.638 0.012 0.336 Br
```

Calculated values
- Fermi-level density of states (states/eV/atom) = 0.7315
- space group = P312
- E_tot (eV/atom) = -2.48
- volume (Å³/atom) = 39.33